# Na2FeBAsO7 | Alexandria | PBE with a Hubbard U | optimized geometry
# * E: -147.89 eV for the cell shown
data_Na2FeBAsO7
_space_group_name_H-M_alt 'P 1'
_space_group_IT_number 1
_cell_length_a 6.838
_cell_length_b 5.426
_cell_length_c 9.212
_cell_angle_alpha 87.24
_cell_angle_beta 90.00
_cell_angle_gamma 90.00
loop_
_space_group_symop_operation_xyz
'x,y,z'
loop_
_atom_site_label
_atom_site_type_symbol
_atom_site_fract_x
_atom_site_fract_y
_atom_site_fract_z
_atom_site_occupancy
O1 O 0.250 0.042 0.858 1
Na1 Na 0.505 0.236 0.218 1
As1 As 0.250 0.726 0.428 1
B1 B 0.750 0.730 0.082 1
O2 O 0.750 0.701 0.939 1
O3 O 0.549 0.194 0.674 1
O4 O 0.750 0.958 0.142 1
As2 As 0.750 0.274 0.572 1
O5 O 0.250 0.299 0.061 1
O6 O 0.250 0.867 0.591 1
O7 O 0.750 0.133 0.409 1
O8 O 0.750 0.592 0.533 1
O9 O 0.451 0.806 0.326 1
O10 O 0.049 0.806 0.326 1
O11 O 0.750 0.539 0.188 1
O12 O 0.250 0.408 0.467 1
Na2 Na 0.995 0.236 0.218 1
Na3 Na 0.495 0.764 0.782 1
Na4 Na 0.005 0.764 0.782 1
Fe1 Fe 0.750 0.785 0.346 1
Fe2 Fe 0.250 0.215 0.654 1
O13 O 0.250 0.461 0.812 1
O14 O 0.951 0.194 0.674 1
B2 B 0.250 0.270 0.918 1